Mn2OsO | PBE+U | relaxed

- Crystal system: tetragonal
- Volume: 242.52 Å³ per cell
- Electronic total energy: -7.570 eV/atom

a = 6.1369 Å, b = 6.1369 Å, c = 6.4395 Å
α = 90.00°, β = 90.00°, γ = 90.00°
Space group I-42d (No. 122)
Asymmetric unit:
Mn: 0.1733 0.2500 0.1250
Os: 0.0000 0.0000 0.5000
O: 0.0000 0.0000 0.0000